Record 1
## La2CuGe4 (GGA-PBE)

Data for La2CuGe4 after structural relaxation.

Calculated values
- space group = I4/mmm
- DOS(E_F) (states/eV/f.u.) = 2.8
- ΔE_f (eV per atom) = -0.36

Lattice parameters (Å, degrees): 4.734 4.734 8.266 73.36 73.36 90.00
Positions (direct):
Ge 0.159 0.159 0.681
Ge 0.841 0.841 0.319
Ge 0.000 0.500 0.000
Ge 0.500 0.000 0.000
Cu 0.000 0.000 0.000
La 0.359 0.359 0.282
La 0.641 0.641 0.718

Record 2
## MgCoMo (GGA-PBE)

Data for MgCoMo after structural relaxation.

Calculated values
- space group = P3m1
- DOS(E_F) (states/eV/f.u.) = 1.5
- distance to the lowest polymorph of the same formula (eV/atom) = 0.115
- ΔE_f (eV per atom) = 0.28

Lattice parameters (Å, degrees): 4.283 4.283 2.718 90.00 90.00 120.00
Positions (direct):
Co 0.000 0.000 0.965
Mg 0.333 0.667 0.302
Mo 0.667 0.333 0.734

Record 3
## Na2HW (GGA-PBE)

Data for Na2HW after structural relaxation.

Calculated values
- space group = Fm-3m
- DOS(E_F) (states/eV/f.u.) = 0.9
- distance to the lowest polymorph of the same formula (eV/atom) = 0.190

Lattice parameters (Å, degrees): 5.164 5.164 5.164 60.00 60.00 60.00
Site moments in Bohr magnetons follow the coordinates.
Positions (direct):
Na 0.250 0.250 0.250  0.03
Na 0.750 0.750 0.750  0.03
W 0.500 0.500 0.500  3.42
H 0.000 0.000 0.000  -0.01

Record 4
## DyPaPd6 (GGA-PBE)

Data for DyPaPd6 after structural relaxation.

Calculated values
- space group = P4/mmm
- DOS(E_F) (states/eV/f.u.) = 2.6
- ΔE_f (eV per atom) = -0.88

Lattice parameters (Å, degrees): 4.136 4.136 8.262 90.00 90.00 90.00
Site moments in Bohr magnetons follow the coordinates.
Positions (direct):
Dy 0.000 0.000 0.000  0.00
Pa 0.000 0.000 0.500  0.24
Pd 0.500 0.500 0.000  0.00
Pd 0.500 0.500 0.500  -0.01
Pd 0.500 0.000 0.255  0.00
Pd 0.500 0.000 0.745  0.00
Pd 0.000 0.500 0.255  0.00
Pd 0.000 0.500 0.745  0.00

Record 5
## RbBi3N (GGA-PBE)

Data for RbBi3N after structural relaxation.

Calculated values
- space group = Pm-3m
- DOS(E_F) (states/eV/f.u.) = 18.4
- distance to the lowest polymorph of the same formula (eV/atom) = 2.114
- uncorrected formation energy (eV/f.u.) = 12.94

Lattice parameters (Å, degrees): 6.178 6.178 6.178 90.00 90.00 90.00
Positions (direct):
Bi 0.000 0.500 0.000
Bi 0.000 0.000 0.500
Bi 0.500 0.000 0.000
Rb 0.000 0.000 0.000
N 0.500 0.500 0.500

Record 6
## La2HoTmAs4 (GGA-PBE)

Data for La2HoTmAs4 after structural relaxation.

Calculated values
- space group = P2/m
- DOS(E_F) (states/eV/f.u.) = 0.8
- ΔE_f (eV per atom) = -1.53

Lattice parameters (Å, degrees): 4.235 7.315 7.330 70.50 90.00 90.00
Positions (direct):
La 0.000 0.000 0.000
La 0.500 0.000 0.500
Ho 0.500 0.500 0.000
Tm 0.000 0.500 0.500
As 0.000 0.735 0.754
As 0.000 0.265 0.246
As 0.500 0.734 0.256
As 0.500 0.266 0.744

Record 7
## MgAsOs2 (GGA-PBE)

Data for MgAsOs2 after structural relaxation.

Calculated values
- space group = I-42d
- DOS(E_F) (states/eV/f.u.) = 4.0
- distance to the lowest polymorph of the same formula (eV/atom) = 0.481
- ΔE_f (eV per atom) = 0.62

Lattice parameters (Å, degrees): 7.377 7.377 5.812 50.61 50.61 90.00
Positions (direct):
As 0.000 0.000 0.000
As 0.750 0.250 0.500
Os 0.693 0.125 0.250
Os 0.057 0.625 0.250
Os 0.375 0.307 0.750
Os 0.875 0.943 0.750
Mg 0.500 0.500 0.000
Mg 0.250 0.750 0.500

Record 8
## BiBSe2Br (GGA-PBE)

Data for BiBSe2Br after structural relaxation.

Calculated values
- space group = P4/mmm
- DOS(E_F) (states/eV/f.u.) = 2.6
- distance to the lowest polymorph of the same formula (eV/atom) = 0.685
- uncorrected formation energy (eV/f.u.) = 5.57

Lattice parameters (Å, degrees): 5.500 5.500 5.701 90.00 90.00 90.00
Positions (direct):
B 0.500 0.500 0.500
Se 0.000 0.500 0.000
Se 0.500 0.000 0.000
Bi 0.000 0.000 0.000
Br 0.000 0.000 0.500

Record 9
## Hf4BeSn2 (GGA-PBE)

Data for Hf4BeSn2 after structural relaxation.

Calculated values
- space group = I4/mmm
- DOS(E_F) (states/eV/f.u.) = 5.8
- ΔE_f (eV per atom) = -0.05

Lattice parameters (Å, degrees): 4.561 4.561 8.142 73.73 73.73 90.00
Positions (direct):
Be 0.000 0.000 0.000
Hf 0.160 0.160 0.680
Hf 0.840 0.840 0.320
Hf 0.000 0.500 0.000
Hf 0.500 0.000 0.000
Sn 0.358 0.358 0.284
Sn 0.642 0.642 0.716

Record 10
## La2Pr2Nd2Dy (GGA-PBE)

Data for La2Pr2Nd2Dy after structural relaxation.

Calculated values
- space group = C2/m
- DOS(E_F) (states/eV/f.u.) = 12.7
- ΔE_f (eV per atom) = 0.02

Lattice parameters (Å, degrees): 5.229 6.389 8.263 97.52 90.00 114.16
Positions (direct):
La 0.143 0.285 0.426
La 0.857 0.715 0.574
Pr 0.715 0.430 0.140
Pr 0.285 0.570 0.860
Nd 0.570 0.140 0.716
Nd 0.430 0.860 0.284
Dy 0.000 0.000 0.000

Record 11
## TbBiPd2 (GGA-PBE)

Data for TbBiPd2 after structural relaxation.

Calculated values
- space group = P4/mmm
- DOS(E_F) (states/eV/f.u.) = 4.0
- ΔE_f (eV per atom) = -0.64

Lattice parameters (Å, degrees): 3.661 3.661 6.497 90.00 90.00 90.00
Positions (direct):
Tb 0.500 0.500 0.000
Bi 0.500 0.500 0.500
Pd 0.000 0.000 0.771
Pd 0.000 0.000 0.229

Record 12
## La3Tb4Ho2 (GGA-PBE)

Data for La3Tb4Ho2 after structural relaxation.

Calculated values
- space group = C2/m
- DOS(E_F) (states/eV/f.u.) = 15.1
- distance to the lowest polymorph of the same formula (eV/atom) = 0.000
- ΔE_f (eV per atom) = 0.03

Lattice parameters (Å, degrees): 5.095 8.132 14.985 144.71 90.00 108.26
Positions (direct):
La 0.553 0.106 0.664
La 0.000 0.000 0.000
La 0.447 0.894 0.336
Tb 0.667 0.334 0.999
Tb 0.333 0.666 0.001
Tb 0.889 0.777 0.667
Tb 0.111 0.223 0.333
Ho 0.776 0.551 0.333
Ho 0.224 0.449 0.667

Number 1: calculated total energy -0.3666 Ry per atom. Number 2: calculated total energy -0.4580 Ry per atom. Number 3: calculated total energy -0.2161 Ry per atom. Number 4: calculated total energy -0.4801 Ry per atom. Number 5: calculated total energy -0.1176 Ry per atom. Number 6: calculated total energy -0.4571 Ry per atom. Number 7: calculated total energy -0.4822 Ry per atom. Number 8: calculated total energy -0.2004 Ry per atom. Number 9: calculated total energy -0.5449 Ry per atom. Number 10: calculated total energy -0.3510 Ry per atom. Number 11: calculated total energy -0.3940 Ry per atom. Number 12: calculated total energy -0.3443 Ry per atom.